*one*
Sm3ZnRh | PBE | relaxed

* density of states at the Fermi level: 9.6 states/eV per cell
* space-group type: P2_1/m

The structure in POSCAR format:
```
Sm3ZnRh
1.0
-1.9191 -3.1049 -1.9050
-0.2781 -4.2015 7.1283
-6.8581 4.6624 -0.6905
Sm Rh Zn
6 2 2
Cartesian
-0.9448 -3.4395 4.3331
-8.1105 0.7954 0.1997
-3.1284 -1.4404 -1.1751
-4.6853 0.6249 1.4767
-5.9269 -1.2037 5.7079
-4.3699 -3.2690 3.0562
-3.3628 -2.8099 5.7427
-5.6925 0.1658 -1.2098
-2.1619 -1.1745 1.8674
-6.8934 -1.4696 2.6654
```

***

*two*
Sm3ZnRh | PBE | relaxed

* density of states at the Fermi level: 8.4 states/eV per cell
* space-group type: C2/m

The structure in POSCAR format:
```
Sm3ZnRh
1.0
5.2468 -0.3106 2.4478
1.6426 4.9927 2.4478
0.0377 0.0256 9.4755
Sm Zn Rh
6 2 2
Cartesian
2.1287 1.4467 9.9338
6.3333 4.3042 7.2912
0.5937 0.4035 7.0799
1.9918 1.3537 4.1973
4.9352 3.3541 10.1738
4.7984 3.2611 4.4373
2.7655 3.3809 7.1855
4.1615 1.3268 7.1855
2.5427 3.6682 2.4478
4.3466 1.0139 2.4478
```

***

Q: Which of them is the least stable? A: *one*.

***

*one*
SnRh4 | PBE | relaxed

* density of states at the Fermi level: 13.9 states/eV per cell
* space-group type: Imma

The structure in POSCAR format:
```
SnRh4
1.0
-3.1815 -2.7155 0.6383
3.6118 -4.0849 0.6246
0.0470 4.6352 5.9295
Rh Sn
8 2
Cartesian
0.2152 -3.4002 0.6315
-1.4585 -0.9049 2.9049
0.1882 0.7163 3.9852
-1.5908 -1.3577 0.3191
1.9358 -1.2603 4.2875
0.9569 -0.7673 1.5050
0.2892 -2.8814 3.2072
-0.4795 -1.3978 5.6874
2.7641 -2.8036 1.8503
-2.2868 0.6384 5.3421
```

***

*two*
SnRh4 | PBE | relaxed

* density of states at the Fermi level: 10.8 states/eV per cell
* space-group type: Pm-3m

The structure in POSCAR format:
```
SnRh4
1.0
4.7909 0.0000 0.0000
0.0000 4.7909 0.0000
0.0000 0.0000 4.7909
Rh Sn
4 1
Cartesian
2.3955 2.3955 0.0000
0.0000 2.3955 2.3955
2.3955 0.0000 2.3955
0.0000 0.0000 0.0000
2.3955 2.3955 2.3955
```

***

Q: Which of them is the least stable? A: *two*.

***

*one*
Sr3Sn4Rh2 | PBE | relaxed

* density of states at the Fermi level: 4.9 states/eV per cell
* space-group type: C2/m

The structure in POSCAR format:
```
Sr3Sn4Rh2
1.0
4.5673 0.0000 0.0000
-2.2837 6.0778 0.0980
0.0000 -2.4931 8.9444
Sn Rh Sr
4 2 3
Cartesian
2.2837 2.2622 0.6884
2.2837 4.1579 3.1280
0.0000 1.3226 8.3539
0.0000 -0.5732 5.9143
0.0000 3.2532 2.0771
2.2837 0.3315 6.9652
2.2837 0.5635 3.4565
0.0000 3.0212 5.5858
0.0000 0.0000 0.0000
```

***

*two*
Sr3Sn4Rh2 | PBE | relaxed

* density of states at the Fermi level: 5.1 states/eV per cell
* space-group type: C2/m

The structure in POSCAR format:
```
Sr3Sn4Rh2
1.0
-1.1855 3.2971 -3.2689
-5.8312 -1.0077 -2.4161
-5.3715 4.0365 6.0165
Sr Sn Rh
3 4 2
Cartesian
-8.9775 4.0276 0.2919
0.0000 0.0000 0.0000
-3.4106 2.2983 0.0396
-4.6302 2.1500 -3.1792
-6.8567 1.2002 0.1836
-7.7579 4.1759 3.5107
-5.5315 5.1257 0.1479
-6.0042 3.1228 1.8102
-6.3839 3.2031 -1.4787
```

***

Q: Which of them is the least stable? A: *one*.